# Sm3Bi2Te2, relaxed, DFT PBE
data_Sm3Bi2Te2
_chemical_formula_sum 'Sm3 Bi2 Te2'
_symmetry_space_group_name_H-M 'P 1'
_symmetry_Int_Tables_number 1
_cell_length_a 4.451
_cell_length_b 7.891
_cell_length_c 8.846
_cell_angle_alpha 116.63
_cell_angle_beta 104.57
_cell_angle_gamma 90.00
loop_
_symmetry_equiv_pos_as_xyz
'x,y,z'
loop_
_atom_site_label
_atom_site_type_symbol
_atom_site_fract_x
_atom_site_fract_y
_atom_site_fract_z
Sm1 Sm 0.737 0.248 0.474
Bi1 Bi 0.629 0.787 0.257
Te1 Te 0.873 0.691 0.747
Bi2 Bi 0.371 0.213 0.743
Sm2 Sm 0.000 0.500 0.000
Sm3 Sm 0.263 0.752 0.526
Te2 Te 0.127 0.309 0.253
# * formation energy from raw total energies: -0.95 eV/atom
# * space-group type: C2/m (12)
# * spin magnetization: 0.00 μB per cell
# * raw total energy: -4.980 eV/atom



# FePI2N, relaxed, DFT PBE
data_FePI2N
_chemical_formula_sum 'Fe1 P1 I2 N1'
_symmetry_space_group_name_H-M 'P 1'
_symmetry_Int_Tables_number 1
_cell_length_a 5.708
_cell_length_b 5.708
_cell_length_c 3.395
_cell_angle_alpha 90.00
_cell_angle_beta 90.00
_cell_angle_gamma 90.00
loop_
_symmetry_equiv_pos_as_xyz
'x,y,z'
loop_
_atom_site_label
_atom_site_type_symbol
_atom_site_fract_x
_atom_site_fract_y
_atom_site_fract_z
Fe1 Fe 0.500 0.500 0.500
P1 P 0.000 0.000 0.000
I1 I 0.000 0.500 0.000
N1 N 0.000 0.000 0.500
I2 I 0.500 0.000 0.000
# * formation energy from raw total energies: 0.92 eV/atom
# * space-group type: P4/mmm (123)
# * spin magnetization: 3.31 μB per cell
# * raw total energy: -4.139 eV/atom



# NdTm4As5, relaxed, DFT PBE
data_NdTm4As5
_chemical_formula_sum 'Nd1 Tm4 As5'
_symmetry_space_group_name_H-M 'P 1'
_symmetry_Int_Tables_number 1
_cell_length_a 4.109
_cell_length_b 7.109
_cell_length_c 9.184
_cell_angle_alpha 75.07
_cell_angle_beta 77.07
_cell_angle_gamma 73.20
loop_
_symmetry_equiv_pos_as_xyz
'x,y,z'
loop_
_atom_site_label
_atom_site_type_symbol
_atom_site_fract_x
_atom_site_fract_y
_atom_site_fract_z
Tm1 Tm 0.201 0.394 0.204
As1 As 0.605 0.686 0.104
Tm2 Tm 0.402 0.797 0.399
As2 As 0.203 0.902 0.693
Tm3 Tm 0.799 0.606 0.796
Tm4 Tm 0.598 0.203 0.601
As3 As 0.000 0.500 0.500
Nd1 Nd 0.000 0.000 0.000
As4 As 0.797 0.098 0.307
As5 As 0.395 0.314 0.896
# * ΔH_f (0 K): -1.496 eV per atom
# * space-group type: C2/m (12)
# * spin magnetization: 0.00 μB per cell
# * raw total energy: -6.086 eV/atom



# TaRu2Se6, relaxed, DFT PBE
data_TaRu2Se6
_chemical_formula_sum 'Ta1 Ru2 Se6'
_symmetry_space_group_name_H-M 'P 1'
_symmetry_Int_Tables_number 1
_cell_length_a 3.535
_cell_length_b 7.266
_cell_length_c 10.142
_cell_angle_alpha 122.71
_cell_angle_beta 90.00
_cell_angle_gamma 104.08
loop_
_symmetry_equiv_pos_as_xyz
'x,y,z'
loop_
_atom_site_label
_atom_site_type_symbol
_atom_site_fract_x
_atom_site_fract_y
_atom_site_fract_z
Ru1 Ru 0.644 0.288 0.797
Se1 Se 0.701 0.402 0.085
Se2 Se 0.009 0.017 0.763
Se3 Se 0.991 0.983 0.237
Se4 Se 0.299 0.598 0.915
Se5 Se 0.338 0.676 0.429
Ru2 Ru 0.356 0.712 0.203
Se6 Se 0.662 0.324 0.571
Ta1 Ta 0.000 0.000 0.500
# * formation energy from raw total energies: -0.48 eV/atom
# * space-group type: C2/m (12)
# * spin magnetization: 0.00 μB per cell
# * raw total energy: -6.178 eV/atom



# NpNbCo4, relaxed, DFT PBE
data_NpNbCo4
_chemical_formula_sum 'Np1 Nb1 Co4'
_symmetry_space_group_name_H-M 'P 1'
_symmetry_Int_Tables_number 1
_cell_length_a 4.854
_cell_length_b 4.854
_cell_length_c 4.854
_cell_angle_alpha 60.00
_cell_angle_beta 60.00
_cell_angle_gamma 60.00
loop_
_symmetry_equiv_pos_as_xyz
'x,y,z'
loop_
_atom_site_label
_atom_site_type_symbol
_atom_site_fract_x
_atom_site_fract_y
_atom_site_fract_z
Co1 Co 0.625 0.625 0.124
Co2 Co 0.124 0.625 0.625
Co3 Co 0.625 0.625 0.625
Np1 Np 0.250 0.250 0.250
Co4 Co 0.625 0.124 0.625
Nb1 Nb 0.000 0.000 0.000
# * ΔH_f (0 K): -0.040 eV per atom
# * space-group type: F-43m (216)
# * spin magnetization: 1.71 μB per cell
# * raw total energy: -8.612 eV/atom



# TlTc3P, relaxed, DFT PBE
data_TlTc3P
_chemical_formula_sum 'Tl1 Tc3 P1'
_symmetry_space_group_name_H-M 'P 1'
_symmetry_Int_Tables_number 1
_cell_length_a 4.442
_cell_length_b 4.442
_cell_length_c 4.442
_cell_angle_alpha 90.00
_cell_angle_beta 90.00
_cell_angle_gamma 90.00
loop_
_symmetry_equiv_pos_as_xyz
'x,y,z'
loop_
_atom_site_label
_atom_site_type_symbol
_atom_site_fract_x
_atom_site_fract_y
_atom_site_fract_z
P1 P 0.000 0.000 0.000
Tl1 Tl 0.500 0.500 0.500
Tc1 Tc 0.000 0.000 0.500
Tc2 Tc 0.000 0.500 0.000
Tc3 Tc 0.500 0.000 0.000
# * ΔH_f (0 K): 0.456 eV per atom
# * space-group type: Pm-3m (221)
# * spin magnetization: 2.12 μB per cell
# * raw total energy: -7.319 eV/atom